# AlZnAs3 meta-GGA SCAN PBEsol geometry
# DFT total energy   -15.537 eV per atom
data_AlZnAs3
_cell_length_a 4.766
_cell_length_b 4.766
_cell_length_c 4.766
_cell_angle_alpha 90.00
_cell_angle_beta 90.00
_cell_angle_gamma 90.00
_symmetry_space_group_name_H-M 'P m -3 m'
_symmetry_Int_Tables_number 221
_symmetry_space_group_name_Hall '-P 4 2 3'
loop_
_atom_site_label
_atom_site_type_symbol
_atom_site_fract_x
_atom_site_fract_y
_atom_site_fract_z
_atom_site_occupancy
Al1 Al 0.000 0.000 0.000 1
Zn1 Zn 0.500 0.500 0.500 1
As1 As 0.000 0.500 0.500 1